No. 1
Below is a geometry-optimized VTcIr structure, with properties calculated at the GGA-PBE level.

Properties
Final energy   -0.3558 Ha/atom
Excess energy over the best structure of this formula in the dataset   0.055 eV per atom
Symmetry   C2 (5)
ΔH_f (0 K)   -233 meV per atom
Crystal system   monoclinic

Unit cell a=4.7443 b=8.2245 c=4.6588 alpha=90.00 beta=109.96 gamma=90.00
With the nearest neighbours (Å) after each atom.
Fractional coordinates of all 12 atoms:
V 0.0000 0.0000 0.0000  4 Tc 2.66-2.75, 5 Ir 2.70-2.75, 3 V 2.74
V 0.0000 0.3332 0.0000  5 Ir 2.68-2.74, 4 Tc 2.70-2.74, 3 V 2.74
V 0.5000 0.5000 0.0000  4 Tc 2.66-2.75, 5 Ir 2.70-2.75, 3 V 2.74
V 0.5000 0.8332 0.0000  5 Ir 2.68-2.74, 4 Tc 2.70-2.74, 3 V 2.74
Tc 0.0000 0.1569 0.5000  4 V 2.66-2.74, 5 Ir 2.70-2.77, 3 Tc 2.74-2.75
Tc 0.0000 0.8224 0.5000  5 Ir 2.66-2.76, 4 V 2.70-2.75, 3 Tc 2.74-2.75
Tc 0.5000 0.3224 0.5000  5 Ir 2.66-2.76, 4 V 2.70-2.75, 3 Tc 2.74-2.75
Tc 0.5000 0.6569 0.5000  4 V 2.66-2.74, 5 Ir 2.70-2.77, 3 Tc 2.74-2.75
Ir 0.0000 0.4937 0.5000  4 V 2.68-2.70, 6 Tc 2.70-2.77, 2 Ir 2.72
Ir 0.0000 0.6653 0.0000  4 Tc 2.66-2.70, 2 Ir 2.72, 6 V 2.73-2.75
Ir 0.5000 0.1653 0.0000  4 Tc 2.66-2.70, 2 Ir 2.72, 6 V 2.73-2.75
Ir 0.5000 0.9937 0.5000  4 V 2.68-2.70, 6 Tc 2.70-2.77, 2 Ir 2.72

=====

No. 2
Below is a geometry-optimized Ce6Hg3Pd structure, with properties calculated at the GGA-PBE level.

Properties
Final energy   -0.1622 Ha/atom
Symmetry   P2_1/c (14)
ΔH_f (0 K)   -243 meV per atom
Crystal system   monoclinic

Unit cell a=5.7507 b=8.6545 c=11.8636 alpha=90.00 beta=117.15 gamma=90.00
With the nearest neighbours (Å) after each atom.
Fractional coordinates of all 20 atoms:
Ce 0.0365 0.0665 0.2389  2 Ce 2.78-2.82, 1 Pd 2.80, 1 Hg 3.08
Ce 0.0365 0.4335 0.7389  2 Ce 2.78-2.82, 1 Pd 2.80, 1 Hg 3.08
Ce 0.0570 0.6501 0.0553  2 Ce 2.82-2.85, 1 Pd 3.08
Ce 0.0570 0.8499 0.5553  2 Ce 2.82-2.85, 1 Pd 3.08
Ce 0.4627 0.6418 0.4456  2 Ce 2.71-2.78
Ce 0.4627 0.8582 0.9456  2 Ce 2.71-2.78
Ce 0.5373 0.1418 0.0544  2 Ce 2.71-2.78
Ce 0.5373 0.3582 0.5544  2 Ce 2.71-2.78
Ce 0.9430 0.1501 0.4447  2 Ce 2.82-2.85, 1 Pd 3.08
Ce 0.9430 0.3499 0.9447  2 Ce 2.82-2.85, 1 Pd 3.08
Ce 0.9635 0.5665 0.2611  2 Ce 2.78-2.82, 1 Pd 2.80, 1 Hg 3.08
Ce 0.9635 0.9335 0.7611  2 Ce 2.78-2.82, 1 Pd 2.80, 1 Hg 3.08
Hg 0.4362 0.1366 0.7512  9 Ce 3.27-3.46, 1 Hg 3.38, 1 Pd 3.45
Hg 0.4362 0.3634 0.2512  9 Ce 3.27-3.46, 1 Hg 3.38, 1 Pd 3.45
Hg 0.5000 0.0000 0.5000  8 Ce 3.08-3.23, 2 Hg 3.38
Hg 0.5000 0.5000 0.0000  8 Ce 3.08-3.23, 2 Hg 3.38
Hg 0.5638 0.6366 0.7488  9 Ce 3.27-3.46, 1 Hg 3.38, 1 Pd 3.45
Hg 0.5638 0.8634 0.2488  9 Ce 3.27-3.46, 1 Hg 3.38, 1 Pd 3.45
Pd 0.0000 0.0000 0.0000  6 Ce 2.80-3.11
Pd 0.0000 0.5000 0.5000  6 Ce 2.80-3.11

=====

No. 3
Below is a geometry-optimized SrPd2Pb5 structure, with properties calculated at the GGA-PBE level.

Properties
Final energy   -0.1500 Ha/atom
Symmetry   Immm (71)
ΔH_f (0 K)   -255 meV per atom
Crystal system   orthorhombic

Unit cell a=4.6313 b=8.7103 c=11.2640 alpha=90.00 beta=90.00 gamma=90.00
With the nearest neighbours (Å) after each atom.
Fractional coordinates of all 16 atoms:
Sr 0.0000 0.0000 0.0000  4 Pd 3.56, 8 Pb 3.94
Sr 0.5000 0.5000 0.5000  4 Pd 3.56, 8 Pb 3.94
Pd 0.0000 0.5000 0.2605  7 Pb 2.83-3.10
Pd 0.0000 0.5000 0.7395  7 Pb 2.83-3.10
Pd 0.5000 0.0000 0.2395  7 Pb 2.83-3.10
Pd 0.5000 0.0000 0.7605  7 Pb 2.83-3.10
Pb 0.0000 0.1944 0.3446  3 Pd 2.83-3.10
Pb 0.0000 0.1944 0.6554  3 Pd 2.83-3.10
Pb 0.0000 0.5000 0.0000  2 Pd 2.93
Pb 0.0000 0.8056 0.3446  3 Pd 2.83-3.10
Pb 0.0000 0.8056 0.6554  3 Pd 2.83-3.10
Pb 0.5000 0.0000 0.5000  2 Pd 2.93
Pb 0.5000 0.3056 0.1554  3 Pd 2.83-3.10
Pb 0.5000 0.3056 0.8446  3 Pd 2.83-3.10
Pb 0.5000 0.6944 0.1554  3 Pd 2.83-3.10
Pb 0.5000 0.6944 0.8446  3 Pd 2.83-3.10

=====

No. 4
Below is a geometry-optimized Dy3Y4Er5 structure, with properties calculated at the GGA-PBE level.

Properties
Final energy   -0.1905 Ha/atom
Excess energy over the best structure of this formula in the dataset   0.000 eV per atom
Symmetry   P-1 (2)
ΔH_f (0 K)   24 meV per atom
Crystal system   triclinic

Unit cell a=6.1229 b=7.0812 c=8.6563 alpha=89.98 beta=89.96 gamma=89.90
With the nearest neighbours (Å) after each atom.
Fractional coordinates of all 12 atoms:
Dy 0.0000 0.0000 0.0000  2 Dy 3.53, 2 Y 3.53, 8 Er 3.53-3.54
Dy 0.1675 0.2488 0.3321  5 Er 3.51-3.55, 6 Y 3.53-3.56, 1 Dy 3.53
Dy 0.8325 0.7512 0.6679  5 Er 3.51-3.55, 6 Y 3.53-3.56, 1 Dy 3.53
Y 0.1664 0.7510 0.3328  4 Dy 3.53-3.56, 5 Er 3.53-3.54, 3 Y 3.54-3.55
Y 0.3325 0.5004 0.6679  5 Er 3.52-3.55, 3 Dy 3.54-3.56, 4 Y 3.54-3.56
Y 0.6675 0.4996 0.3321  5 Er 3.52-3.55, 3 Dy 3.54-3.56, 4 Y 3.54-3.56
Y 0.8336 0.2490 0.6672  4 Dy 3.53-3.56, 5 Er 3.53-3.54, 3 Y 3.54-3.55
Er 0.0000 0.5000 0.0000  4 Y 3.52-3.54, 4 Er 3.53-3.55, 4 Dy 3.53-3.54
Er 0.3341 0.9997 0.6675  4 Dy 3.52-3.55, 3 Er 3.52-3.54, 5 Y 3.53-3.55
Er 0.4991 0.2492 0.0005  3 Dy 3.51-3.54, 6 Er 3.52-3.55, 3 Y 3.53-3.54
Er 0.5009 0.7508 0.9995  3 Dy 3.51-3.54, 6 Er 3.52-3.55, 3 Y 3.53-3.54
Er 0.6659 0.0003 0.3325  4 Dy 3.52-3.55, 3 Er 3.52-3.54, 5 Y 3.53-3.55